First-principles (PBEsol) data for a relaxed Ta4CoSb crystal, as listed in the Alexandria database.

Values from the calculation:
- SG = F-43m (216)
- energy relative to the elements, uncorrected (eV/atom) = 0.618

a = 5.372 Å, b = 5.372 Å, c = 5.372 Å
α = 60.00°, β = 60.00°, γ = 60.00°
Element x y z (fractional)
Co (0.750, 0.750, 0.750)
Sb (0.000, 0.000, 0.000)
Ta (0.375, 0.375, 0.375)
Ta (0.375, 0.375, 0.875)
Ta (0.875, 0.375, 0.375)
Ta (0.375, 0.875, 0.375)

First-principles (PBEsol) data for a relaxed Ta2CoSb crystal, as listed in the Alexandria database.

Values from the calculation:
- SG = Cmmm (65)
- energy relative to the elements, uncorrected (eV/atom) = 0.117

a = 2.991 Å, b = 2.991 Å, c = 7.540 Å
α = 90.00°, β = 90.00°, γ = 99.65°
Element x y z (fractional)
Co (0.500, 0.500, 0.500)
Sb (0.500, 0.500, 0.000)
Ta (0.000, 0.000, 0.288)
Ta (0.000, 0.000, 0.712)

First-principles (PBEsol) data for a relaxed TaCo2Sb crystal, as listed in the Alexandria database.

Values from the calculation:
- SG = C2/m (12)
- energy relative to the elements, uncorrected (eV/atom) = 0.072

a = 3.207 Å, b = 4.314 Å, c = 4.789 Å
α = 103.62°, β = 90.00°, γ = 111.82°
Element x y z (fractional)
Sb (0.000, 0.000, 0.500)
Co (0.759, 0.517, 0.785)
Co (0.241, 0.483, 0.215)
Ta (0.500, 0.000, 0.000)

First-principles (PBEsol) data for a relaxed TaCoSb crystal, as listed in the Alexandria database.

Values from the calculation:
- SG = F-43m (216)
- energy relative to the elements, uncorrected (eV/atom) = -0.170

a = 4.169 Å, b = 4.169 Å, c = 4.169 Å
α = 60.00°, β = 60.00°, γ = 60.00°
Element x y z (fractional)
Sb (0.500, 0.500, 0.500)
Co (0.250, 0.250, 0.250)
Ta (0.000, 0.000, 0.000)

Spin magnetization for the records above, in order: 1.04; 0.38; 0.00; 0.00 μB per formula unit